(1)
# LaPrCd2Pb2 PBE optimized geometry
# energy: -3.634 eV per atom
# magnetic moment: 0.0 Bohr magnetons per cell
# relative energy among the computed polymorphs: 0.000 eV per atom
data_LaPrCd2Pb2
_chemical_formula_sum 'La2 Pr2 Cd4 Pb4'
_space_group_name_H-M_alt 'P 63/m m c'
_space_group_IT_number 194
_space_group_name_Hall '-P 6c 2c'
_cell_length_a 4.9241
_cell_length_b 4.9241
_cell_length_c 16.6678
_cell_angle_alpha 90.00
_cell_angle_beta 90.00
_cell_angle_gamma 120.00
loop_
_atom_site_label
_atom_site_type_symbol
_atom_site_fract_x
_atom_site_fract_y
_atom_site_fract_z
La1 La 0.0000 0.0000 0.0000
Pr1 Pr 0.0000 0.0000 0.2500
Cd1 Cd 0.3333 0.6667 0.1574
Pb1 Pb 0.3333 0.6667 0.6057



(2)
# KLuFeTe3 PBE optimized geometry
# energy: -4.724 eV per atom
# magnetic moment: 15.8 Bohr magnetons per cell
# relative energy among the computed polymorphs: 0.031 eV per atom
data_KLuFeTe3
_chemical_formula_sum 'K4 Lu4 Fe4 Te12'
_space_group_name_H-M_alt 'C m c m'
_space_group_IT_number 63
_space_group_name_Hall '-C 2c 2'
_cell_length_a 4.2948
_cell_length_b 15.9413
_cell_length_c 11.2445
_cell_angle_alpha 90.00
_cell_angle_beta 90.00
_cell_angle_gamma 90.00
loop_
_atom_site_label
_atom_site_type_symbol
_atom_site_fract_x
_atom_site_fract_y
_atom_site_fract_z
K1 K 0.0000 0.2480 0.2500
Lu1 Lu 0.0000 0.0000 0.0000
Fe1 Fe 0.0000 0.4690 0.7500
Te1 Te 0.0000 0.0706 0.7500
Te2 Te 0.0000 0.3731 0.5609